No. 1
# HoGa6Cu12, optimized geometry, DFT GGA-PBE
data_HoGa6Cu12
_chemical_formula_sum 'Ho1 Ga6 Cu12'
_symmetry_space_group_name_H-M 'P 1'
_symmetry_Int_Tables_number 1
_symmetry_space_group_name_Hall 'P 1'
_cell_length_a 6.832
_cell_length_b 6.832
_cell_length_c 6.832
_cell_angle_alpha 104.24
_cell_angle_beta 104.24
_cell_angle_gamma 104.24
loop_
_atom_site_label
_atom_site_fract_x
_atom_site_fract_y
_atom_site_fract_z
_atom_site_occupancy
Ho1 0.000 0.000 0.000 1
Ga1 0.703 0.282 0.282 1
Ga2 0.282 0.282 0.703 1
Ga3 0.282 0.703 0.282 1
Ga4 0.718 0.718 0.297 1
Ga5 0.297 0.718 0.718 1
Ga6 0.718 0.297 0.718 1
Cu1 0.888 0.112 0.500 1
Cu2 0.872 0.625 0.625 1
Cu3 0.625 0.625 0.872 1
Cu4 0.375 0.128 0.375 1
Cu5 0.375 0.375 0.128 1
Cu6 0.128 0.375 0.375 1
Cu7 0.112 0.500 0.888 1
Cu8 0.500 0.888 0.112 1
Cu9 0.112 0.888 0.500 1
Cu10 0.888 0.500 0.112 1
Cu11 0.500 0.112 0.888 1
Cu12 0.625 0.872 0.625 1
# Symmetry ... R-3m
# DFT formation energy ... -0.05 eV per atom

No. 2
# Ho12Ga6Cu, optimized geometry, DFT GGA-PBE
data_Ho12Ga6Cu
_chemical_formula_sum 'Ho12 Ga6 Cu1'
_symmetry_space_group_name_H-M 'P 1'
_symmetry_Int_Tables_number 1
_symmetry_space_group_name_Hall 'P 1'
_cell_length_a 8.373
_cell_length_b 8.373
_cell_length_c 8.373
_cell_angle_alpha 99.89
_cell_angle_beta 99.89
_cell_angle_gamma 99.89
loop_
_atom_site_label
_atom_site_fract_x
_atom_site_fract_y
_atom_site_fract_z
_atom_site_occupancy
Ho1 0.819 0.573 0.431 1
Ho2 0.431 0.819 0.573 1
Ho3 0.573 0.431 0.819 1
Ho4 0.181 0.427 0.569 1
Ho5 0.569 0.181 0.427 1
Ho6 0.427 0.569 0.181 1
Ho7 0.070 0.951 0.318 1
Ho8 0.049 0.682 0.930 1
Ho9 0.682 0.930 0.049 1
Ho10 0.930 0.049 0.682 1
Ho11 0.951 0.318 0.070 1
Ho12 0.318 0.070 0.951 1
Ga1 0.697 0.865 0.383 1
Ga2 0.617 0.303 0.135 1
Ga3 0.135 0.617 0.303 1
Ga4 0.303 0.135 0.617 1
Ga5 0.383 0.697 0.865 1
Ga6 0.865 0.383 0.697 1
Cu1 0.000 0.000 0.000 1
# Symmetry ... R-3
# DFT formation energy ... -0.16 eV per atom

No. 3
# Ho4GaCu2, optimized geometry, DFT GGA-PBE
data_Ho4GaCu2
_chemical_formula_sum 'Ho8 Ga2 Cu4'
_symmetry_space_group_name_H-M 'P 1'
_symmetry_Int_Tables_number 1
_symmetry_space_group_name_Hall 'P 1'
_cell_length_a 7.656
_cell_length_b 8.011
_cell_length_c 7.362
_cell_angle_alpha 109.96
_cell_angle_beta 108.41
_cell_angle_gamma 114.13
loop_
_atom_site_label
_atom_site_fract_x
_atom_site_fract_y
_atom_site_fract_z
_atom_site_occupancy
Ho1 0.974 0.217 0.387 1
Ho2 0.385 0.466 0.262 1
Ho3 0.893 0.592 0.632 1
Ho4 0.848 0.280 0.858 1
Ho5 0.375 0.954 0.244 1
Ho6 0.250 0.086 0.727 1
Ho7 0.499 0.809 0.795 1
Ho8 0.763 0.668 0.104 1
Ga1 0.116 0.636 0.359 1
Ga2 0.990 0.990 0.976 1
Cu1 0.471 0.372 0.615 1
Cu2 0.770 0.903 0.528 1
Cu3 0.651 0.277 0.144 1
Cu4 0.264 0.501 0.870 1
# Symmetry ... P1
# DFT formation energy ... -0.26 eV per atom

No. 4
# HoGaCu11, optimized geometry, DFT GGA-PBE
data_HoGaCu11
_chemical_formula_sum 'Ho1 Ga1 Cu11'
_symmetry_space_group_name_H-M 'P 1'
_symmetry_Int_Tables_number 1
_symmetry_space_group_name_Hall 'P 1'
_cell_length_a 4.843
_cell_length_b 6.521
_cell_length_c 6.448
_cell_angle_alpha 82.24
_cell_angle_beta 67.94
_cell_angle_gamma 68.91
loop_
_atom_site_label
_atom_site_fract_x
_atom_site_fract_y
_atom_site_fract_z
_atom_site_occupancy
Ho1 0.000 0.000 0.000 1
Ga1 0.500 0.500 0.000 1
Cu1 0.282 0.219 0.222 1
Cu2 0.718 0.781 0.778 1
Cu3 0.496 0.781 0.222 1
Cu4 0.504 0.219 0.778 1
Cu5 0.344 0.649 0.641 1
Cu6 0.656 0.351 0.359 1
Cu7 0.014 0.351 0.641 1
Cu8 0.986 0.649 0.359 1
Cu9 0.000 0.500 0.000 1
Cu10 0.500 0.000 0.500 1
Cu11 0.000 0.000 0.500 1
# Symmetry ... C2/m
# DFT formation energy ... -0.12 eV per atom

No. 5
# Ho2Ga8Cu, optimized geometry, DFT GGA-PBE
data_Ho2Ga8Cu
_chemical_formula_sum 'Ho2 Ga8 Cu1'
_symmetry_space_group_name_H-M 'P 1'
_symmetry_Int_Tables_number 1
_symmetry_space_group_name_Hall 'P 1'
_cell_length_a 4.303
_cell_length_b 4.303
_cell_length_c 11.081
_cell_angle_alpha 90.00
_cell_angle_beta 90.00
_cell_angle_gamma 90.00
loop_
_atom_site_label
_atom_site_fract_x
_atom_site_fract_y
_atom_site_fract_z
_atom_site_occupancy
Ho1 0.000 0.000 0.308 1
Ho2 0.000 0.000 0.692 1
Ga1 0.000 0.500 0.500 1
Ga2 0.500 0.000 0.500 1
Ga3 0.500 0.500 0.303 1
Ga4 0.500 0.500 0.697 1
Ga5 0.000 0.500 0.124 1
Ga6 0.500 0.000 0.124 1
Ga7 0.000 0.500 0.876 1
Ga8 0.500 0.000 0.876 1
Cu1 0.000 0.000 0.000 1
# Symmetry ... P4/mmm
# DFT formation energy ... -0.41 eV per atom

No. 6
# HoGaCu6, optimized geometry, DFT GGA-PBE
data_HoGaCu6
_chemical_formula_sum 'Ho1 Ga1 Cu6'
_symmetry_space_group_name_H-M 'P 1'
_symmetry_Int_Tables_number 1
_symmetry_space_group_name_Hall 'P 1'
_cell_length_a 4.883
_cell_length_b 4.883
_cell_length_c 4.883
_cell_angle_alpha 90.00
_cell_angle_beta 90.00
_cell_angle_gamma 90.00
loop_
_atom_site_label
_atom_site_fract_x
_atom_site_fract_y
_atom_site_fract_z
_atom_site_occupancy
Ho1 0.500 0.500 0.500 1
Ga1 0.000 0.000 0.000 1
Cu1 0.500 0.758 0.000 1
Cu2 0.758 0.000 0.500 1
Cu3 0.000 0.500 0.242 1
Cu4 0.242 0.000 0.500 1
Cu5 0.500 0.242 0.000 1
Cu6 0.000 0.500 0.758 1
# Symmetry ... Pm-3
# DFT formation energy ... -0.01 eV per atom

No. 7
# HoGa2Cu3, optimized geometry, DFT GGA-PBE
data_HoGa2Cu3
_chemical_formula_sum 'Ho2 Ga4 Cu6'
_symmetry_space_group_name_H-M 'P 1'
_symmetry_Int_Tables_number 1
_symmetry_space_group_name_Hall 'P 1'
_cell_length_a 4.225
_cell_length_b 7.806
_cell_length_c 7.806
_cell_angle_alpha 54.58
_cell_angle_beta 74.30
_cell_angle_gamma 74.30
loop_
_atom_site_label
_atom_site_fract_x
_atom_site_fract_y
_atom_site_fract_z
_atom_site_occupancy
Ho1 0.863 0.137 0.137 1
Ho2 0.137 0.863 0.863 1
Ga1 0.500 0.179 0.821 1
Ga2 0.500 0.821 0.179 1
Ga3 0.816 0.684 0.684 1
Ga4 0.184 0.316 0.316 1
Cu1 0.323 0.478 0.876 1
Cu2 0.000 0.335 0.665 1
Cu3 0.677 0.124 0.522 1
Cu4 0.323 0.876 0.478 1
Cu5 0.000 0.665 0.335 1
Cu6 0.677 0.522 0.124 1
# Symmetry ... Immm
# DFT formation energy ... -0.23 eV per atom

No. 8
# HoGa6Cu4, optimized geometry, DFT GGA-PBE
data_HoGa6Cu4
_chemical_formula_sum 'Ho1 Ga6 Cu4'
_symmetry_space_group_name_H-M 'P 1'
_symmetry_Int_Tables_number 1
_symmetry_space_group_name_Hall 'P 1'
_cell_length_a 3.992
_cell_length_b 7.139
_cell_length_c 7.139
_cell_angle_alpha 120.00
_cell_angle_beta 90.00
_cell_angle_gamma 90.00
loop_
_atom_site_label
_atom_site_fract_x
_atom_site_fract_y
_atom_site_fract_z
_atom_site_occupancy
Ho1 0.000 0.000 0.000 1
Ga1 0.000 0.534 0.068 1
Ga2 0.500 0.607 0.804 1
Ga3 0.000 0.534 0.466 1
Ga4 0.000 0.932 0.466 1
Ga5 0.500 0.196 0.804 1
Ga6 0.500 0.196 0.393 1
Cu1 0.500 0.792 0.584 1
Cu2 0.500 0.416 0.208 1
Cu3 0.500 0.792 0.208 1
Cu4 0.000 0.333 0.667 1
# Symmetry ... P-6m2
# DFT formation energy ... -0.22 eV per atom

No. 9
# HoGa7Cu5, optimized geometry, DFT GGA-PBE
data_HoGa7Cu5
_chemical_formula_sum 'Ho1 Ga7 Cu5'
_symmetry_space_group_name_H-M 'P 1'
_symmetry_Int_Tables_number 1
_symmetry_space_group_name_Hall 'P 1'
_cell_length_a 5.211
_cell_length_b 6.692
_cell_length_c 6.692
_cell_angle_alpha 83.00
_cell_angle_beta 67.29
_cell_angle_gamma 67.29
loop_
_atom_site_label
_atom_site_fract_x
_atom_site_fract_y
_atom_site_fract_z
_atom_site_occupancy
Ho1 0.999 0.001 0.001 1
Ga1 0.646 0.353 0.353 1
Ga2 0.345 0.655 0.655 1
Ga3 0.991 0.352 0.665 1
Ga4 0.991 0.665 0.352 1
Ga5 0.267 0.230 0.230 1
Ga6 0.509 0.797 0.186 1
Ga7 0.509 0.186 0.797 1
Cu1 0.500 0.000 0.496 1
Cu2 0.004 0.000 0.496 1
Cu3 0.500 0.496 0.000 1
Cu4 0.004 0.496 0.000 1
Cu5 0.734 0.768 0.768 1
# Symmetry ... Cm
# DFT formation energy ... -0.26 eV per atom

No. 10
# Ho3Ga5Cu6, optimized geometry, DFT GGA-PBE
data_Ho3Ga5Cu6
_chemical_formula_sum 'Ho6 Ga10 Cu12'
_symmetry_space_group_name_H-M 'P 1'
_symmetry_Int_Tables_number 1
_symmetry_space_group_name_Hall 'P 1'
_cell_length_a 4.177
_cell_length_b 8.995
_cell_length_c 12.496
_cell_angle_alpha 90.00
_cell_angle_beta 90.00
_cell_angle_gamma 90.00
loop_
_atom_site_label
_atom_site_fract_x
_atom_site_fract_y
_atom_site_fract_z
_atom_site_occupancy
Ho1 0.000 0.253 0.695 1
Ho2 0.500 0.747 0.195 1
Ho3 0.500 0.747 0.805 1
Ho4 0.000 0.236 0.000 1
Ho5 0.500 0.764 0.500 1
Ho6 0.000 0.253 0.305 1
Ga1 0.000 0.519 0.866 1
Ga2 0.000 0.895 0.668 1
Ga3 0.000 0.755 0.000 1
Ga4 0.500 0.481 0.634 1
Ga5 0.500 0.245 0.500 1
Ga6 0.000 0.519 0.134 1
Ga7 0.500 0.481 0.366 1
Ga8 0.000 0.895 0.332 1
Ga9 0.500 0.105 0.832 1
Ga10 0.500 0.105 0.168 1
Cu1 0.000 0.968 0.869 1
Cu2 0.500 0.032 0.631 1
Cu3 0.500 0.381 0.835 1
Cu4 0.500 0.545 0.000 1
Cu5 0.000 0.455 0.500 1
Cu6 0.000 0.619 0.665 1
Cu7 0.000 0.619 0.335 1
Cu8 0.500 0.949 0.000 1
Cu9 0.000 0.968 0.131 1
Cu10 0.500 0.381 0.165 1
Cu11 0.000 0.051 0.500 1
Cu12 0.500 0.032 0.369 1
# Symmetry ... Pmmn
# DFT formation energy ... -0.43 eV per atom

No. 11
# Ho2Ga4Cu3, optimized geometry, DFT GGA-PBE
data_Ho2Ga4Cu3
_chemical_formula_sum 'Ho4 Ga8 Cu6'
_symmetry_space_group_name_H-M 'P 1'
_symmetry_Int_Tables_number 1
_symmetry_space_group_name_Hall 'P 1'
_cell_length_a 5.594
_cell_length_b 7.471
_cell_length_c 7.959
_cell_angle_alpha 90.00
_cell_angle_beta 110.57
_cell_angle_gamma 90.00
loop_
_atom_site_label
_atom_site_fract_x
_atom_site_fract_y
_atom_site_fract_z
_atom_site_occupancy
Ho1 0.108 0.597 0.217 1
Ho2 0.892 0.403 0.783 1
Ho3 0.392 0.097 0.783 1
Ho4 0.608 0.903 0.217 1
Ga1 0.687 0.750 0.874 1
Ga2 0.813 0.250 0.126 1
Ga3 0.313 0.250 0.126 1
Ga4 0.187 0.750 0.874 1
Ga5 0.178 0.985 0.356 1
Ga6 0.822 0.015 0.644 1
Ga7 0.322 0.485 0.644 1
Ga8 0.678 0.515 0.356 1
Cu1 0.000 0.000 0.000 1
Cu2 0.500 0.500 0.000 1
Cu3 0.518 0.750 0.535 1
Cu4 0.982 0.250 0.465 1
Cu5 0.482 0.250 0.465 1
Cu6 0.018 0.750 0.535 1
# Symmetry ... Cmce
# DFT formation energy ... -0.42 eV per atom

No. 12
# Ho3Ga2Cu6, optimized geometry, DFT GGA-PBE
data_Ho3Ga2Cu6
_chemical_formula_sum 'Ho6 Ga4 Cu12'
_symmetry_space_group_name_H-M 'P 1'
_symmetry_Int_Tables_number 1
_symmetry_space_group_name_Hall 'P 1'
_cell_length_a 7.859
_cell_length_b 7.859
_cell_length_c 7.859
_cell_angle_alpha 109.47
_cell_angle_beta 109.47
_cell_angle_gamma 109.47
loop_
_atom_site_label
_atom_site_fract_x
_atom_site_fract_y
_atom_site_fract_z
_atom_site_occupancy
Ho1 0.723 0.000 0.723 1
Ho2 0.277 0.000 0.277 1
Ho3 0.000 0.277 0.277 1
Ho4 0.000 0.723 0.723 1
Ho5 0.277 0.277 0.000 1
Ho6 0.723 0.723 0.000 1
Ga1 0.000 0.500 0.000 1
Ga2 0.500 0.000 0.000 1
Ga3 0.000 0.000 0.500 1
Ga4 0.500 0.500 0.500 1
Cu1 0.664 0.328 0.664 1
Cu2 0.664 0.000 0.336 1
Cu3 0.336 0.000 0.664 1
Cu4 0.336 0.672 0.336 1
Cu5 0.000 0.664 0.336 1
Cu6 0.672 0.336 0.336 1
Cu7 0.328 0.664 0.664 1
Cu8 0.000 0.336 0.664 1
Cu9 0.336 0.664 0.000 1
Cu10 0.664 0.664 0.328 1
Cu11 0.336 0.336 0.672 1
Cu12 0.664 0.336 0.000 1
# Symmetry ... Im-3m
# DFT formation energy ... -0.35 eV per atom